Record 1
Material: Mg2TiAgH
Method: DFT, SCAN
State: single point on PBEsol structure

a = 4.384 Å, b = 4.384 Å, c = 3.973 Å
α = 90.00°, β = 90.00°, γ = 90.00°
Space group P4/mmm (No. 123)
Symmetry-distinct sites (fractional):
Mg  0.000  0.500  0.000 (multiplicity 2)
Ti  0.000  0.000  0.500 (multiplicity 1)
Ag  0.500  0.500  0.500 (multiplicity 1)
H  0.500  0.500  0.000 (multiplicity 1)

Record 2
Material: BeCu2
Method: DFT, SCAN
State: single point on PBEsol structure

a = 9.906 Å, b = 9.906 Å, c = 9.906 Å
α = 90.00°, β = 90.00°, γ = 90.00°
Space group Fd-3m (No. 227, origin choice 2)
Symmetry-distinct sites (fractional):
Be  0.036  0.036  0.214 (multiplicity 32)
Cu  0.000  0.000  0.000 (multiplicity 16)
Cu  0.064  0.375  0.875 (multiplicity 48)

Summary:
E_form, eV/atom: -0.068

Record 3
Material: K2BaBe
Method: DFT, SCAN
State: single point on PBEsol structure

a = 5.095 Å, b = 5.095 Å, c = 6.593 Å
α = 90.00°, β = 90.00°, γ = 90.00°
Space group P4/mmm (No. 123)
Symmetry-distinct sites (fractional):
K  0.000  0.500  0.000 (multiplicity 2)
Ba  0.000  0.000  0.500 (multiplicity 1)
Be  0.500  0.500  0.500 (multiplicity 1)

Summary:
E_form, eV/atom: 0.602

| no. | raw total energy (eV per atom) |
| --- | --- |
| 1 | -11.98 |
| 2 | -11.65 |
| 3 | -14.54 |